Entry 1:
The following is a DFT calculation (GGA-PBE) of a geometry-optimized CsK2ZnO2 structure.

Geometry as POSCAR:
```
CsK2ZnO2
1.0
4.393 0.000 0.000
0.000 6.334 0.000
0.000 0.000 12.264
Cs K Zn O
2 4 2 4
direct
0.500 0.500 0.000 Cs
0.000 0.000 0.500 Cs
0.500 0.034 0.220 K
0.000 0.534 0.280 K
0.500 0.966 0.780 K
0.000 0.466 0.720 K
0.000 0.000 0.000 Zn
0.500 0.500 0.500 Zn
0.500 0.687 0.387 O
0.500 0.313 0.613 O
0.000 0.813 0.887 O
0.000 0.187 0.113 O
```

Values from the calculation:
The formation energy (no corrections) is -579.8 kJ/mol of formula units. The calculation puts the total energy at -3.375 eV/atom. For the magnetic moment, the calculation gives 0.000 μB/f.u.

***

Entry 2:
The following is a DFT calculation (GGA-PBE) of a geometry-optimized NdPa4As5 structure.

Geometry as POSCAR:
```
NdPa4As5
1.0
-0.846 -1.614 -3.695
3.933 -5.926 -0.610
-5.790 -6.891 2.040
Nd Pa As
1 4 5
direct
0.000 0.000 0.000 Nd
0.597 0.204 0.601 Pa
0.201 0.393 0.205 Pa
0.799 0.607 0.795 Pa
0.403 0.796 0.399 Pa
0.201 0.903 0.695 As
0.799 0.097 0.305 As
0.394 0.314 0.898 As
0.000 0.500 0.500 As
0.606 0.686 0.102 As
```

Values from the calculation:
The calculation puts the total energy at -7.740 eV/atom. For the magnetic moment, the calculation gives 0.000 μB/f.u.

***

Entry 3:
The following is a DFT calculation (GGA-PBE) of a geometry-optimized GeCl2F structure.

Geometry as POSCAR:
```
GeCl2F
1.0
3.745 -0.868 -0.640
1.014 5.177 -1.152
1.014 0.430 5.287
Ge Cl F
1 2 1
direct
0.500 0.327 0.673 Ge
0.498 0.415 0.078 Cl
0.502 0.922 0.585 Cl
0.000 0.396 0.604 F
```

Values from the calculation:
Its energy relative to the lowest polymorph listed for this composition is 0.0 meV/atom. The formation energy (no corrections) is -438.2 kJ/mol of formula units. The calculation puts the total energy at -3.681 eV/atom. For the magnetic moment, the calculation gives 0.000 μB/f.u.

***

Entry 4:
The following is a DFT calculation (GGA-PBE) of a geometry-optimized CdMoW2 structure.

Geometry as POSCAR:
```
CdMoW2
1.0
-2.718 3.157 3.380
-4.769 -1.765 1.708
5.245 -1.103 -0.223
Cd Mo W
1 1 2
direct
0.750 0.250 0.500 Cd
0.250 0.750 0.500 Mo
0.018 0.018 0.000 W
0.482 0.482 0.000 W
```

Values from the calculation:
The calculation puts the total energy at -8.950 eV/atom. For the magnetic moment, the calculation gives 0.000 μB/f.u.